# SiAs2BrO

Crystalline SiAs2BrO at its relaxed geometry (PBE, the Alexandria database).

abc: 4.8225 4.8225 4.9171
angles: 90.00 90.00 90.00
Space group P4/mmm (No. 123)
Unique sites:
Si 0.0000 0.0000 0.0000 [1 per cell]
As 0.0000 0.5000 0.0000 [2 per cell]
Br 0.0000 0.0000 0.5000 [1 per cell]
O 0.5000 0.5000 0.5000 [1 per cell]

Summary:
Total magnetic moment = 0.7 μB/f.u.
Formation energy from raw total energies = 0.98 eV per atom
Energy relative to the lowest polymorph listed for this composition = 2.83 eV per formula unit